No. 1
16
Lattice="6.2194 0.0000 0.0000 0.0000 8.5929 0.0000 0.0000 0.0000 9.7258" Properties=species:S:1:pos:R:3 comment="InSnHg4Pb2 | the Alexandria database | PBE | relaxed" e_tot_ev_per_atom=-1.8241 vol_a3_per_cell=520 dos_at_fermi_per_ev_cell=5.607 pbc="T T T"
Pb 3.5064 2.9758 2.3113
Pb 0.3967 5.6171 7.1742
Pb 0.3967 5.6171 2.5516
Pb 3.5064 2.9758 7.4145
Hg 5.1810 7.4464 4.8629
Hg 3.5204 6.0370 2.6033
Hg 2.0713 1.1465 0.0000
Hg 0.4107 2.5559 7.4662
Hg 3.5204 6.0370 7.1225
Hg 1.8159 1.6807 4.8629
Hg 0.4107 2.5559 2.2596
Hg 4.9256 6.9122 0.0000
Sn 4.9123 1.7268 4.8629
Sn 1.8026 6.8661 0.0000
In 2.0240 7.3554 4.8629
In 5.1337 1.2375 0.0000

***

No. 2
9
Lattice="6.3625 0.9798 0.1716 -0.2083 7.6947 0.2828 -2.9437 -4.0565 5.4048" Properties=species:S:1:pos:R:3 comment="In2Sn2HgPb4 | the Alexandria database | PBE | relaxed" e_tot_ev_per_atom=-3.1087 vol_a3_per_cell=276 dos_at_fermi_per_ev_cell=3.746 pbc="T T T"
Sn -0.6816 4.4559 3.1683
Sn 3.8921 0.1621 2.6909
Pb 0.6990 -0.1563 3.1533
Pb 2.5116 4.7743 2.7058
Pb 2.4580 2.0433 0.5416
Pb 0.7525 2.5747 5.3175
In -2.0734 0.9229 5.1145
In 5.2839 3.6951 0.7446
Hg 0.0000 0.0000 0.0000

***

No. 3
4
Lattice="3.6160 0.0000 0.0000 0.0000 3.6160 0.0000 0.0000 0.0000 8.5768" Properties=species:S:1:pos:R:3 comment="InSnHgPb | the Alexandria database | PBE | relaxed" e_tot_ev_per_atom=-2.6708 vol_a3_per_cell=112 dos_at_fermi_per_ev_cell=1.355 de_polymorph_mev_per_atom=0 pbc="T T T"
Pb 1.8080 1.8080 7.0565
Sn 0.0000 0.0000 4.8330
In 1.8080 1.8080 2.7226
Hg 0.0000 0.0000 0.6948

***

No. 4
10
Lattice="-4.0022 -4.7142 -1.1742 2.7211 -0.8953 -5.6806 3.3418 -4.2916 5.8397" Properties=species:S:1:pos:R:3 comment="In2SnHgPb | the Alexandria database | PBE | relaxed" e_tot_ev_per_atom=-2.6012 vol_a3_per_cell=293 dos_at_fermi_per_ev_cell=6.149 pbc="T T T"
In 2.0544 -0.6759 -4.2887
In -1.3344 -2.5764 -1.9790
In 0.6667 -0.2194 -1.3919
In 0.0533 -3.0330 -4.8758
Sn -1.4880 -5.0612 0.0849
Sn 3.5486 -4.8398 -1.1000
Pb 0.6265 -6.2686 -2.2745
Pb 1.4342 -3.6324 1.2594
Hg 1.6898 -2.9664 -2.2856
Hg 0.3708 -6.9346 1.2705

***

No. 5
8
Lattice="-3.4352 1.3363 -2.3493 -1.2939 -7.4224 -2.3301 -4.7549 -3.4327 5.0002" Properties=species:S:1:pos:R:3 comment="In2SnHgPb4 | the Alexandria database | PBE | relaxed" e_tot_ev_per_atom=-2.9372 vol_a3_per_cell=251 dos_at_fermi_per_ev_cell=4.217 pbc="T T T"
Pb -5.6361 -3.7857 2.0217
Pb -4.5488 -8.1106 2.0379
Pb -4.9352 -1.4082 -1.7171
Pb -3.8479 -5.7331 -1.7009
In -4.0950 -1.0482 1.3255
In -4.7548 -3.4327 5.0002
Hg -3.0244 -5.4275 1.3351
Sn -2.3645 -3.0431 -2.3397

***

No. 6
11
Lattice="-1.6217 -2.3048 -3.5211 2.6810 -2.0471 2.9935 -15.6147 -5.0757 10.5138" Properties=species:S:1:pos:R:3 comment="In3Sn2Hg2Pb4 | the Alexandria database | PBE | relaxed" e_tot_ev_per_atom=-2.7701 vol_a3_per_cell=343 dos_at_fermi_per_ev_cell=6.223 pbc="T T T"
Pb -1.6006 -2.6782 -0.3981
Pb -4.3682 -3.9582 4.6027
Pb -10.1872 -5.4694 5.3835
Pb -12.9548 -6.7493 10.3843
Sn -7.3329 -4.5415 3.4617
Sn -7.2225 -4.8860 6.5246
In -4.0150 -1.3051 2.7034
In 0.0000 0.0000 0.0000
In -11.5997 -3.7705 7.8104
Hg -1.5408 -3.0391 2.6989
Hg -13.0146 -6.3884 7.2873